Record 1
VASP calculation (PBE-GGA) on an optimized crystal structure of NaZnBiO4.

Calculated values
E_form (uncorrected)	-1.193	eV per atom
E_tot	-138.62	eV per cell

Unit cell a=6.4333 b=6.6692 c=9.2620 alpha=90.00 beta=90.00 gamma=90.00
Space group Imma (No. 74)
Symmetry-distinct sites (fractional):
1 Na 0.0000 0.2500 0.1433
2 Zn 0.2500 0.2500 0.7500
3 Bi 0.0000 0.0000 0.5000
4 O 0.0000 0.0364 0.7257
5 O 0.2235 0.2500 0.5056


Record 2
VASP calculation (PBE-GGA) on an optimized crystal structure of NaZr2Bi2O7.

Calculated values
E_form (uncorrected)	-2.091	eV per atom
E_tot	-171.95	eV per cell

Unit cell a=3.5273 b=19.2016 c=5.8697 alpha=90.00 beta=90.00 gamma=90.00
Space group Imm2 (No. 44)
Symmetry-distinct sites (fractional):
1 Na 0.0000 0.0000 0.0000
2 Zr 0.0000 0.4006 0.0372
3 Bi 0.0000 0.3060 0.5635
4 O 0.0000 0.1232 0.6913
5 O 0.0000 0.2844 0.9254
6 O 0.0000 0.4160 0.6995
7 O 0.0000 0.5000 0.1521


Record 3
VASP calculation (PBE-GGA) on an optimized crystal structure of NaBi3Os.

Calculated values
E_tot	-21.42	eV per cell
E_form	555	meV per atom

Unit cell a=5.4095 b=5.4095 c=5.4095 alpha=90.00 beta=90.00 gamma=90.00
Space group Pm-3m (No. 221)
Symmetry-distinct sites (fractional):
1 Na 0.0000 0.0000 0.0000
2 Bi 0.0000 0.5000 0.5000
3 Os 0.5000 0.5000 0.5000


Record 4
VASP calculation (PBE-GGA) on an optimized crystal structure of NaBiOs2.

Calculated values
E_tot	-87.43	eV per cell
E_form	1451	meV per atom

Unit cell a=7.9563 b=7.9563 c=5.2012 alpha=90.00 beta=90.00 gamma=90.00
Space group I-42d (No. 122)
Symmetry-distinct sites (fractional):
1 Na 0.0000 0.0000 0.0000
2 Bi 0.0000 0.0000 0.5000
3 Os 0.2258 0.2500 0.6250


Record 5
VASP calculation (PBE-GGA) on an optimized crystal structure of NaBi2Os.

Calculated values
E_tot	-71.42	eV per cell
E_form	614	meV per atom

Unit cell a=7.2793 b=7.2793 c=10.9892 alpha=90.00 beta=90.00 gamma=90.00
Space group I-42d (No. 122)
Symmetry-distinct sites (fractional):
1 Na 0.0000 0.0000 0.0000
2 Bi 0.1770 0.2500 0.6250
3 Os 0.0000 0.0000 0.5000


Record 6
VASP calculation (PBE-GGA) on an optimized crystal structure of Na2BiOs2.

Calculated values
E_tot	-52.62	eV per cell
E_form	534	meV per atom

Unit cell a=3.4753 b=3.4753 c=20.7210 alpha=90.00 beta=90.00 gamma=90.00
Space group I4/mmm (No. 139)
Symmetry-distinct sites (fractional):
1 Na 0.0000 0.0000 0.1209
2 Bi 0.0000 0.0000 0.5000
3 Os 0.0000 0.5000 0.2500


Record 7
VASP calculation (PBE-GGA) on an optimized crystal structure of NaBi3Os.

Calculated values
E_tot	-15.76	eV per cell
E_form	1686	meV per atom

Unit cell a=5.3062 b=5.3062 c=5.3062 alpha=90.00 beta=90.00 gamma=90.00
Space group Pm-3m (No. 221)
Symmetry-distinct sites (fractional):
1 Na 0.0000 0.0000 0.0000
2 Bi 0.0000 0.0000 0.5000
3 Os 0.5000 0.5000 0.5000


Record 8
VASP calculation (PBE-GGA) on an optimized crystal structure of NaBi2Os.

Calculated values
E_tot	-74.95	eV per cell
E_form	393	meV per atom

Unit cell a=7.0176 b=7.0176 c=7.0176 alpha=90.00 beta=90.00 gamma=90.00
Space group Fm-3m (No. 225)
Symmetry-distinct sites (fractional):
1 Na 0.0000 0.0000 0.0000
2 Bi 0.2500 0.2500 0.2500
3 Os 0.0000 0.0000 0.5000